Entry 1:
Here is crystalline Co2MoSe at its relaxed geometry from Alexandria via LeMat-Bulk. Energies are from PBE-GGA.

Geometry as extended XYZ:
```
4
Lattice="4.644 -0.009 0.004 1.660 4.337 -0.004 -2.882 -2.558 2.592" Properties=species:S:1:pos:R:3 pbc="T T T"
Co 2.547 -0.140 1.298
Co 0.165 0.113 0.000
Mo 3.021 2.074 0.000
Se 0.842 1.887 1.294
```

Offset from the most stable computed form (meV/atom): 83.9

Entry 2:
Here is crystalline Co2MoSe at its relaxed geometry from Alexandria via LeMat-Bulk. Energies are from PBE-GGA.

Geometry as extended XYZ:
```
4
Lattice="2.815 0.012 0.000 -0.011 2.815 0.000 0.000 0.000 6.734" Properties=species:S:1:pos:R:3 pbc="T T T"
Se 1.402 1.414 5.051
Co 0.000 0.000 3.436
Co 0.000 0.000 6.666
Mo 1.402 1.414 1.684
```

Offset from the most stable computed form (meV/atom): 67.1

Entry 3:
Here is crystalline CoMo2Se at its relaxed geometry from Alexandria via LeMat-Bulk. Energies are from PBE-GGA.

Geometry as extended XYZ:
```
4
Lattice="-0.577 -4.591 -1.003 2.350 -3.823 -1.509 1.106 -1.610 3.948" Properties=species:S:1:pos:R:3 pbc="T T T"
Se 2.158 -7.518 1.077
Co 0.719 -2.506 0.359
Mo 1.780 -8.366 -2.396
Mo 1.431 -5.059 0.602
```

Offset from the most stable computed form (meV/atom): 152.1

Entry 4:
Here is crystalline Co2MoSe at its relaxed geometry from Alexandria via LeMat-Bulk. Energies are from PBE-GGA.

Geometry as extended XYZ:
```
4
Lattice="-0.287 4.121 -0.768 -3.663 1.986 0.537 -0.478 2.701 3.182" Properties=species:S:1:pos:R:3 pbc="T T T"
Mo -2.214 4.404 1.476
Se -3.321 6.606 2.214
Co 0.000 0.000 0.000
Co -1.107 2.202 0.738
```

Offset from the most stable computed form (meV/atom): 128.1

Entry 5:
Here is crystalline Co2MoSe at its relaxed geometry from Alexandria via LeMat-Bulk. Energies are from PBE-GGA.

Geometry as extended XYZ:
```
4
Lattice="3.043 0.000 0.000 0.000 4.235 0.000 0.000 0.000 4.058" Properties=species:S:1:pos:R:3 pbc="T T T"
Co 0.000 0.000 0.000
Co 1.522 2.118 0.000
Se 0.000 2.118 2.029
Mo 1.522 0.000 2.029
```

Offset from the most stable computed form (meV/atom): 127.3

Entry 6:
Here is crystalline Co2MoSe at its relaxed geometry from Alexandria via LeMat-Bulk. Energies are from PBE-GGA.

Geometry as extended XYZ:
```
4
Lattice="4.446 0.007 -0.008 3.452 2.802 -0.008 0.426 0.151 4.362" Properties=species:S:1:pos:R:3 pbc="T T T"
Co 0.120 0.043 0.001
Co 6.242 2.220 3.322
Se 2.132 0.758 0.800
Mo 3.993 1.420 2.396
```

Offset from the most stable computed form (meV/atom): 94.7

Entry 7:
Here is crystalline Co2MoSe at its relaxed geometry from Alexandria via LeMat-Bulk. Energies are from PBE-GGA.

Geometry as extended XYZ:
```
8
Lattice="5.395 0.000 0.000 0.000 5.395 0.000 2.697 2.697 4.994" Properties=species:S:1:pos:R:3 pbc="T T T"
Co 6.744 6.711 3.746
Co 1.381 4.046 1.249
Co 4.014 1.349 1.249
Co 4.046 4.079 3.746
Se 2.697 2.697 0.000
Se 2.697 5.395 2.497
Mo 5.395 2.697 2.497
Mo 0.000 0.000 0.000
```

Offset from the most stable computed form (meV/atom): 479.7

Entry 8:
Here is crystalline Co2MoSe2 at its relaxed geometry from Alexandria via LeMat-Bulk. Energies are from PBE-GGA.

Geometry as extended XYZ:
```
5
Lattice="-1.987 2.821 -0.431 -2.177 -1.159 2.451 1.158 3.764 5.276" Properties=species:S:1:pos:R:3 pbc="T T T"
Co -1.456 3.708 2.928
Co -1.551 1.718 4.369
Se -1.707 3.886 5.255
Se -1.299 1.540 2.042
Mo 0.000 0.000 0.000
```

Offset from the most stable computed form (meV/atom): 174.6

Entry 9:
Here is crystalline Co2MoSe at its relaxed geometry from Alexandria via LeMat-Bulk. Energies are from PBE-GGA.

Geometry as extended XYZ:
```
4
Lattice="4.878 -0.002 -0.006 2.159 4.374 0.006 -3.077 -2.896 2.436" Properties=species:S:1:pos:R:3 pbc="T T T"
Mo 2.659 -0.356 1.215
Co 0.146 0.090 0.000
Co 3.373 2.095 0.000
Se 1.300 1.832 1.221
```

Offset from the most stable computed form (meV/atom): 77.4

Entry 10:
Here is crystalline CoMo2Se at its relaxed geometry from Alexandria via LeMat-Bulk. Energies are from PBE-GGA.

Geometry as extended XYZ:
```
4
Lattice="-3.862 -1.983 2.316 -2.857 -2.875 -2.790 4.828 0.335 0.891" Properties=species:S:1:pos:R:3 pbc="T T T"
Mo -0.694 -2.485 -1.067
Mo 0.000 0.000 0.000
Se -3.359 -2.429 -0.237
Co -1.197 -2.039 1.486
```

Offset from the most stable computed form (meV/atom): 262.3

Entry 11:
Here is crystalline Co2MoSe at its relaxed geometry from Alexandria via LeMat-Bulk. Energies are from PBE-GGA.

Geometry as extended XYZ:
```
4
Lattice="8.011 0.003 0.001 7.486 2.852 0.001 7.486 1.379 2.496" Properties=species:S:1:pos:R:3 pbc="T T T"
Se 17.229 3.173 1.874
Co 22.905 4.219 2.491
Co 5.851 1.078 0.636
Mo 11.471 2.113 1.247
```

Offset from the most stable computed form (meV/atom): 195.0

Entry 12:
Here is crystalline CoMo2Se at its relaxed geometry from Alexandria via LeMat-Bulk. Energies are from PBE-GGA.

Geometry as extended XYZ:
```
4
Lattice="-1.754 -1.954 0.968 0.729 -0.790 -2.584 6.242 -4.109 3.017" Properties=species:S:1:pos:R:3 pbc="T T T"
Mo 6.114 -4.025 2.955
Mo 1.001 -2.369 -0.077
Se 3.266 -2.150 1.578
Co 4.199 -4.474 1.469
```

Offset from the most stable computed form (meV/atom): 211.6

no.,calculated total energy (eV per atom)
1,-6.8872
2,-6.9040
3,-7.7726
4,-6.8430
5,-6.8438
6,-6.8764
7,-6.4914
8,-6.0209
9,-6.8937
10,-7.6624
11,-6.7761
12,-7.7132